The following is a DFT calculation (PBE) of Be2CuAgAu4 after structural relaxation.

Results
As for the symmetry: P4/mmm. The energy of formation is 0.1650 eV per atom.

Geometry as POSCAR:
```
Be2CuAgAu4
1.0
-3.476 -1.777 0.770
1.713 -3.559 -0.479
1.972 -0.190 8.467
Be Cu Ag Au
2 1 1 4
direct
0.500 0.500 0.379 Be
0.500 0.500 0.621 Be
0.000 0.000 0.500 Cu
0.000 0.000 0.000 Ag
0.000 0.500 0.243 Au
0.500 0.000 0.757 Au
0.500 0.000 0.243 Au
0.000 0.500 0.757 Au
```



The following is a DFT calculation (PBE) of Be2CuAg2Au5 after structural relaxation.

Results
As for the symmetry: P4/mbm. The energy of formation is -0.0717 eV per atom.

Geometry as POSCAR:
```
Be2CuAg2Au5
1.0
-2.626 0.409 -1.357
4.342 -2.189 -9.061
-2.236 -9.948 1.331
Be Cu Ag Au
4 2 4 10
direct
0.000 0.133 0.633 Be
0.000 0.867 0.367 Be
0.000 0.633 0.867 Be
0.000 0.367 0.133 Be
0.000 0.000 0.000 Cu
0.000 0.500 0.500 Cu
0.000 0.687 0.187 Ag
0.000 0.313 0.813 Ag
0.000 0.187 0.313 Ag
0.000 0.813 0.687 Ag
0.500 0.208 0.051 Au
0.500 0.792 0.949 Au
0.500 0.051 0.792 Au
0.500 0.708 0.449 Au
0.500 0.949 0.208 Au
0.500 0.292 0.551 Au
0.500 0.551 0.708 Au
0.500 0.449 0.292 Au
0.500 0.500 0.000 Au
0.500 0.000 0.500 Au
```



The following is a DFT calculation (PBE) of BeCuAg2Au after structural relaxation.

Results
As for the symmetry: P4/mmm. The energy of formation is 1.1600 eV per atom.

Geometry as POSCAR:
```
BeCuAg2Au
1.0
5.150 0.000 0.000
0.000 4.767 0.000
0.000 0.000 5.150
Be Au Cu Ag
1 1 1 2
direct
0.500 0.500 0.500 Be
0.000 0.000 0.000 Au
0.000 0.500 0.000 Cu
0.000 0.000 0.500 Ag
0.500 0.000 0.000 Ag
```



The following is a DFT calculation (PBE) of BeCuAgAu after structural relaxation.

Results
As for the symmetry: F-43m. The energy of formation is 0.0432 eV per atom.

Geometry as POSCAR:
```
BeCuAgAu
1.0
-0.883 -3.823 -1.766
2.680 -3.314 0.591
-1.178 -3.302 2.495
Be Au Cu Ag
1 1 1 1
direct
0.000 0.000 0.000 Be
0.750 0.750 0.750 Au
0.500 0.500 0.500 Cu
0.250 0.250 0.250 Ag
```



The following is a DFT calculation (PBE) of Be2GaAg2Au5 after structural relaxation.

Results
As for the symmetry: P4/mbm. The energy of formation is -0.0933 eV per atom.

Geometry as POSCAR:
```
Be2GaAg2Au5
1.0
-1.986 1.640 2.081
5.567 -2.932 7.627
5.621 8.073 -0.999
Be Ga Ag Au
4 2 4 10
direct
0.000 0.126 0.626 Be
0.000 0.874 0.374 Be
0.000 0.626 0.874 Be
0.000 0.374 0.126 Be
0.000 0.000 0.000 Ga
0.000 0.500 0.500 Ga
0.000 0.674 0.174 Ag
0.000 0.326 0.826 Ag
0.000 0.174 0.326 Ag
0.000 0.826 0.674 Ag
0.500 0.206 0.073 Au
0.500 0.794 0.927 Au
0.500 0.073 0.794 Au
0.500 0.706 0.427 Au
0.500 0.927 0.206 Au
0.500 0.294 0.573 Au
0.500 0.573 0.706 Au
0.500 0.427 0.294 Au
0.500 0.500 0.000 Au
0.500 0.000 0.500 Au
```



The following is a DFT calculation (PBE) of BeGaAgAu after structural relaxation.

Results
As for the symmetry: F-43m. The energy of formation is 0.0597 eV per atom.

Geometry as POSCAR:
```
BeGaAgAu
1.0
4.403 0.000 0.000
2.202 3.813 0.000
2.202 1.271 3.595
Be Au Ga Ag
1 1 1 1
direct
0.250 0.250 0.250 Be
0.000 0.000 0.000 Au
0.750 0.750 0.750 Ga
0.500 0.500 0.500 Ag
```



The following is a DFT calculation (PBE) of BeAgGe2Au after structural relaxation.

Results
As for the symmetry: P4/mmm. The energy of formation is 0.3456 eV per atom.

Geometry as POSCAR:
```
BeAgGe2Au
1.0
-0.671 1.780 4.058
2.364 -3.409 1.887
3.773 2.383 -0.421
Be Ge Au Ag
1 2 1 1
direct
0.000 0.000 0.000 Be
0.000 0.000 0.500 Ge
0.500 0.000 0.000 Ge
0.000 0.500 0.000 Au
0.500 0.500 0.500 Ag
```



The following is a DFT calculation (PBE) of Be2In2AgAu5 after structural relaxation.

Results
As for the symmetry: P4/mbm. The energy of formation is -0.0610 eV per atom.

Geometry as POSCAR:
```
Be2In2AgAu5
1.0
3.381 0.000 0.000
0.000 10.189 0.000
0.000 0.000 10.189
Be In Ag Au
4 4 2 10
direct
0.000 0.126 0.626 Be
0.000 0.874 0.374 Be
0.000 0.626 0.874 Be
0.000 0.374 0.126 Be
0.000 0.683 0.183 In
0.000 0.317 0.817 In
0.000 0.183 0.317 In
0.000 0.817 0.683 In
0.000 0.000 0.000 Ag
0.000 0.500 0.500 Ag
0.500 0.219 0.053 Au
0.500 0.781 0.947 Au
0.500 0.053 0.781 Au
0.500 0.719 0.447 Au
0.500 0.947 0.219 Au
0.500 0.281 0.553 Au
0.500 0.553 0.719 Au
0.500 0.447 0.281 Au
0.500 0.500 0.000 Au
0.500 0.000 0.500 Au
```



The following is a DFT calculation (PBE) of BeAgIrAu after structural relaxation.

Results
As for the symmetry: P4mm. The energy above the most stable polymorph in this dataset is 0 meV per atom. The energy of formation is -0.0935 eV per atom.

Geometry as POSCAR:
```
BeAgIrAu
1.0
-1.518 0.039 2.395
-0.747 -2.702 -0.429
5.825 -2.203 3.729
Be Ir Au Ag
1 1 1 1
direct
0.000 0.000 0.147 Be
0.500 0.500 0.981 Ir
0.500 0.500 0.383 Au
0.000 0.000 0.688 Ag
```



The following is a DFT calculation (PBE) of BeAgIrAu after structural relaxation.

Results
As for the symmetry: R3m. The energy above the most stable polymorph in this dataset is 54 meV per atom. The energy of formation is -0.0392 eV per atom.

Geometry as POSCAR:
```
BeAgIrAu
1.0
-2.414 1.297 -0.726
1.475 -1.440 -1.945
-13.088 -21.150 5.732
Be Ir Au Ag
3 3 3 3
direct
0.000 0.000 0.279 Be
0.333 0.667 0.946 Be
0.667 0.333 0.612 Be
0.000 0.000 0.009 Ir
0.333 0.667 0.676 Ir
0.667 0.333 0.343 Ir
0.000 0.000 0.537 Au
0.333 0.667 0.203 Au
0.667 0.333 0.870 Au
0.000 0.000 0.771 Ag
0.333 0.667 0.438 Ag
0.667 0.333 0.104 Ag
```



The following is a DFT calculation (PBE) of BeAgIrAu after structural relaxation.

Results
As for the symmetry: Pmm2. The energy above the most stable polymorph in this dataset is 294 meV per atom. The energy of formation is 0.2004 eV per atom.

Geometry as POSCAR:
```
BeAgIrAu
1.0
4.050 0.000 0.000
0.000 3.819 0.000
0.000 0.000 4.039
Be Ir Au Ag
1 1 1 1
direct
0.000 0.500 0.266 Be
0.000 0.000 0.591 Ir
0.500 0.500 0.596 Au
0.500 0.000 0.089 Ag
```



The following is a DFT calculation (PBE) of BeAgIrAu after structural relaxation.

Results
As for the symmetry: P3m1. The energy above the most stable polymorph in this dataset is 56 meV per atom. The energy of formation is -0.0377 eV per atom.

Geometry as POSCAR:
```
BeAgIrAu
1.0
-1.385 2.226 -1.085
-1.080 -2.610 -0.265
-4.169 0.982 7.334
Be Ir Au Ag
1 1 1 1
direct
0.333 0.667 0.840 Be
0.667 0.333 0.031 Ir
0.000 0.000 0.613 Au
0.333 0.667 0.316 Ag
```



What E values result from the calculations? In sequence: -3.274, -3.435, -2.200, -3.444, -3.350, -3.161, -3.472, -3.278, -4.772, -4.718, -4.479, -4.717 eV per atom.
What theoretical density values result from the calculations? In sequence: 11.788, 13.493, 6.373, 11.125, 13.218, 10.551, 8.329, 12.683, 14.399, 14.195, 13.451, 14.191 g cm⁻³.